(1)
Here is a geometry-optimized Mg3Sn structure from Alexandria via LeMat-Bulk. Energies are from PBEsol.

E in eV per atom: -2.489
V in Å³ per atom: 22.27
Spin magnetization in Bohr magnetons per cell: 0.00
Formation enthalpy at 0 K in eV per formula unit: -0.5

abc: 4.469 4.469 8.922
angles: 90.00 90.00 90.00
Sites, in units of the cell vectors:
Mg 0.000 0.000 0.000
Mg 0.000 0.500 0.250
Mg 0.000 0.500 0.750
Mg 0.500 0.000 0.250
Mg 0.500 0.000 0.750
Mg 0.500 0.500 0.500
Sn 0.000 0.000 0.500
Sn 0.500 0.500 0.000



(2)
Here is a geometry-optimized ReNCl2 structure from Alexandria via LeMat-Bulk. Energies are from PBEsol.

E in eV per atom: -6.508
V in Å³ per atom: 17.98
Spin magnetization in Bohr magnetons per cell: 0.00
Uncorrected formation energy in meV/atom: -39

abc: 8.754 8.754 3.755
angles: 90.00 90.00 90.00
Sites, in units of the cell vectors:
Re 0.000 0.000 0.000
Re 0.000 0.500 0.250
Re 0.500 0.000 0.750
Re 0.500 0.500 0.500
N 0.000 0.000 0.500
N 0.000 0.500 0.750
N 0.500 0.000 0.250
N 0.500 0.500 0.000
Cl 0.102 0.750 0.125
Cl 0.250 0.102 0.875
Cl 0.250 0.398 0.375
Cl 0.398 0.750 0.625
Cl 0.602 0.250 0.625
Cl 0.750 0.602 0.375
Cl 0.750 0.898 0.875
Cl 0.898 0.250 0.125



(3)
Here is a geometry-optimized As2PPtBr structure from Alexandria via LeMat-Bulk. Energies are from PBEsol.

E in eV per atom: -4.107
V in Å³ per atom: 23.03
Spin magnetization in Bohr magnetons per cell: 0.00
Uncorrected formation energy in meV/atom: 860

abc: 4.822 4.822 4.952
angles: 90.00 90.00 90.00
Sites, in units of the cell vectors:
As 0.000 0.500 0.000
As 0.500 0.000 0.000
P 0.000 0.000 0.500
Pt 0.500 0.500 0.000
Br 0.500 0.500 0.500



(4)
Here is a geometry-optimized AlNi3Cl structure from Alexandria via LeMat-Bulk. Energies are from PBEsol.

E in eV per atom: -4.399
V in Å³ per atom: 14.00
Spin magnetization in Bohr magnetons per cell: 0.00
Uncorrected formation energy in meV/atom: 515

abc: 4.121 4.121 4.121
angles: 90.00 90.00 90.00
Sites, in units of the cell vectors:
Al 0.000 0.000 0.000
Ni 0.000 0.500 0.500
Ni 0.500 0.000 0.500
Ni 0.500 0.500 0.000
Cl 0.500 0.500 0.500



(5)
Here is a geometry-optimized CrAsIrRu2 structure from Alexandria via LeMat-Bulk. Energies are from PBEsol.

E in eV per atom: -7.753
V in Å³ per atom: 15.99
Spin magnetization in Bohr magnetons per cell: 0.00
Formation enthalpy at 0 K in eV per formula unit: 6.8

abc: 4.279 4.279 4.368
angles: 90.00 90.00 90.00
Sites, in units of the cell vectors:
Cr 0.000 0.000 0.000
As 0.000 0.000 0.500
Ir 0.500 0.500 0.500
Ru 0.000 0.500 0.000
Ru 0.500 0.000 0.000



(6)
Here is a geometry-optimized TaBe4Re structure from Alexandria via LeMat-Bulk. Energies are from PBEsol.

E in eV per atom: -7.403
V in Å³ per atom: 10.40
Spin magnetization in Bohr magnetons per cell: 0.00
Formation enthalpy at 0 K in eV per formula unit: -2.5

abc: 4.452 4.452 4.452
angles: 60.00 60.00 60.00
Sites, in units of the cell vectors:
Ta 0.000 0.000 0.000
Be 0.128 0.624 0.624
Be 0.624 0.128 0.624
Be 0.624 0.624 0.128
Be 0.624 0.624 0.624
Re 0.250 0.250 0.250



(7)
Here is a geometry-optimized RbMoF3 structure from Alexandria via LeMat-Bulk. Energies are from PBEsol.

E in eV per atom: -4.047
V in Å³ per atom: 22.04
Spin magnetization in Bohr magnetons per cell: 4.68
Uncorrected formation energy in meV/atom: -332

abc: 4.794 4.794 4.794
angles: 90.00 90.00 90.00
Sites, in units of the cell vectors:
Rb 0.000 0.000 0.000
Mo 0.500 0.500 0.500
F 0.000 0.000 0.500
F 0.000 0.500 0.000
F 0.500 0.000 0.000



(8)
Here is a geometry-optimized CaNi5H structure from Alexandria via LeMat-Bulk. Energies are from PBEsol.

Energy above the most stable polymorph in this dataset in meV/atom: 3
E in eV per atom: -5.295
V in Å³ per atom: 11.64
Spin magnetization in Bohr magnetons per cell: 2.38

abc: 4.795 8.788 3.867
angles: 90.00 90.00 90.00
Sites, in units of the cell vectors:
Ca 0.000 0.000 0.000
Ca 0.500 0.500 0.000
Ni 0.000 0.318 0.000
Ni 0.000 0.500 0.500
Ni 0.000 0.682 0.000
Ni 0.250 0.250 0.500
Ni 0.250 0.750 0.500
Ni 0.500 0.000 0.500
Ni 0.500 0.182 0.000
Ni 0.500 0.818 0.000
Ni 0.750 0.250 0.500
Ni 0.750 0.750 0.500
H 0.000 0.500 0.000
H 0.500 0.000 0.000